Entry 1:
Computed, not measured: crystalline La6Zn7 at its relaxed geometry at the PBEsol level of DFT.

The structure belongs to space group R-3m (No. 166, hexagonal axes); the cell edges are 5.7068, 5.7068 and 31.4407 Å and the angles 90.00°, 90.00° and 120.00°. The inequivalent atoms are La at (0.0000, 0.0000, 0.0556), La at (0.0000, 0.0000, 0.1547), La at (0.0000, 0.0000, 0.3293), Zn at (0.0000, 0.0000, 0.5000) and Zn at (0.0161, 0.5080, 0.0960).

For the mass density, the calculation gives 7.25 g/cm³. The value obtained for the formation energy from the elements is -0.23 eV/atom. The calculation puts the magnetic moment at 0.0 μB per formula unit.

Entry 2:
Computed, not measured: crystalline Ag2TeIr at its relaxed geometry at the PBEsol level of DFT.

The structure belongs to space group P4/mmm (No. 123); the cell edges are 3.6775, 3.6775 and 5.3436 Å and the angles 90.00°, 90.00° and 90.00°. The inequivalent atoms are Ag at (0.0000, 0.0000, 0.2413), Te at (0.5000, 0.5000, 0.5000) and Ir at (0.5000, 0.5000, 0.0000).

For the mass density, the calculation gives 12.31 g/cm³. The calculation puts the magnetic moment at 0.0 μB per formula unit. The calculation puts the uncorrected formation energy at 45.5 kJ per mole of atoms.

Entry 3:
Computed, not measured: crystalline AlZn2Ni at its relaxed geometry at the PBEsol level of DFT.

The structure belongs to space group R3m (No. 160, hexagonal axes); the cell edges are 2.7315, 2.7315 and 24.6504 Å and the angles 90.00°, 90.00° and 120.00°. The inequivalent atoms are Al at (0.0000, 0.0000, 0.0000), Zn at (0.0000, 0.0000, 0.2420), Zn at (0.0000, 0.0000, 0.4863) and Ni at (0.0000, 0.0000, 0.7413).

For the mass density, the calculation gives 6.77 g/cm³. The value obtained for the formation energy from the elements is -0.14 eV/atom. The calculation puts the magnetic moment at 0.0 μB per formula unit.

Entry 4:
Computed, not measured: crystalline YNi2Te at its relaxed geometry at the PBEsol level of DFT.

The structure belongs to space group P4mm (No. 99); the cell edges are 3.3472, 3.3472 and 6.3494 Å and the angles 90.00°, 90.00° and 90.00°. The inequivalent atoms are Y at (0.0000, 0.0000, 0.0000), Ni at (0.0000, 0.0000, 0.4350), Ni at (0.5000, 0.5000, 0.2392) and Te at (0.5000, 0.5000, 0.6267).

For the mass density, the calculation gives 7.79 g/cm³. The calculation puts the magnetic moment at 0.0 μB per formula unit. The calculation puts the uncorrected formation energy at -23.1 kJ per mole of atoms.

What did the first record say?
Computed, not measured: crystalline La6Zn7 at its relaxed geometry at the PBEsol level of DFT.

The structure belongs to space group R-3m (No. 166, hexagonal axes); the cell edges are 5.7068, 5.7068 and 31.4407 Å and the angles 90.00°, 90.00° and 120.00°. The inequivalent atoms are La at (0.0000, 0.0000, 0.0556), La at (0.0000, 0.0000, 0.1547), La at (0.0000, 0.0000, 0.3293), Zn at (0.0000, 0.0000, 0.5000) and Zn at (0.0161, 0.5080, 0.0960).

For the mass density, the calculation gives 7.25 g/cm³. The value obtained for the formation energy from the elements is -0.23 eV/atom. The calculation puts the magnetic moment at 0.0 μB per formula unit.